# 1
A geometry-optimized Tb6TlIr2 structure. Source: Alexandria, functional GGA-PBE.

As for the volume: 481 Å³/cell. The formation energy from the elements is -13.05 kcal/mol of atoms. Its energy above the lowest structure with this stoichiometry is 0 meV per atom. As for the symmetry: Immm. The calculation puts the density of states at the Fermi level at 7.3 states/eV/f.u.

abc: 8.563 8.563 8.563
angles: 113.06 110.69 104.78
Fractional positions:
Tb 0.033 0.238 0.794
Tb 0.182 0.286 0.468
Tb 0.182 0.714 0.896
Tb 0.330 0.021 0.691
Tb 0.330 0.639 0.309
Tb 0.444 0.238 0.206
Tb 0.556 0.762 0.794
Tb 0.670 0.361 0.691
Tb 0.670 0.979 0.309
Tb 0.818 0.286 0.104
Tb 0.818 0.714 0.532
Tb 0.967 0.762 0.206
Tl 0.000 0.000 0.000
Tl 0.500 0.500 0.000
Ir 0.129 0.629 0.500
Ir 0.336 0.000 0.336
Ir 0.664 0.000 0.664
Ir 0.871 0.371 0.500

=====

# 2
A geometry-optimized Tb4Tl2Ir structure. Source: Alexandria, functional GGA-PBE.

As for the volume: 212 Å³/cell. The formation energy from the elements is -8.29 kcal/mol of atoms. As for the symmetry: P2/m. The calculation puts the density of states at the Fermi level at 5.5 states/eV/f.u.

abc: 6.582 3.807 8.978
angles: 90.00 109.43 90.00
Fractional positions:
Tb 0.118 0.000 0.260
Tb 0.348 0.500 0.657
Tb 0.652 0.500 0.343
Tb 0.882 0.000 0.740
Tl 0.256 0.500 0.998
Tl 0.744 0.500 0.002
Ir 0.500 0.000 0.500

=====

# 3
A geometry-optimized Tb4TlIr structure. Source: Alexandria, functional GGA-PBE.

As for the volume: 371 Å³/cell. The formation energy from the elements is -7.89 kcal/mol of atoms. Its energy above the lowest structure with this stoichiometry is 186 meV per atom. As for the symmetry: P2_1/c. The calculation puts the density of states at the Fermi level at 6.5 states/eV/f.u.

abc: 7.564 7.067 6.934
angles: 90.00 91.62 90.00
Fractional positions:
Tb 0.136 0.158 0.171
Tb 0.136 0.342 0.671
Tb 0.313 0.640 0.122
Tb 0.313 0.860 0.622
Tb 0.687 0.140 0.378
Tb 0.687 0.360 0.878
Tb 0.864 0.658 0.329
Tb 0.864 0.842 0.829
Tl 0.500 0.000 0.000
Tl 0.500 0.500 0.500
Ir 0.000 0.000 0.500
Ir 0.000 0.500 0.000

=====

# 4
A geometry-optimized Tb5TlIr2 structure. Source: Alexandria, functional GGA-PBE.

As for the volume: 418 Å³/cell. The formation energy from the elements is -14.75 kcal/mol of atoms. As for the symmetry: I4/mcm. The calculation puts the density of states at the Fermi level at 7.4 states/eV/f.u.

abc: 8.790 8.790 8.790
angles: 127.14 127.14 78.03
Fractional positions:
Tb 0.000 0.000 0.000
Tb 0.028 0.528 0.820
Tb 0.208 0.028 0.500
Tb 0.292 0.792 0.820
Tb 0.472 0.292 0.500
Tb 0.500 0.500 0.000
Tb 0.528 0.708 0.500
Tb 0.708 0.208 0.180
Tb 0.792 0.972 0.500
Tb 0.972 0.472 0.180
Tl 0.250 0.250 0.000
Tl 0.750 0.750 0.000
Ir 0.140 0.360 0.500
Ir 0.360 0.860 0.221
Ir 0.640 0.140 0.779
Ir 0.860 0.640 0.500

=====

# 5
A geometry-optimized Tb5Tl2Ir2 structure. Source: Alexandria, functional GGA-PBE.

As for the volume: 481 Å³/cell. The formation energy from the elements is -13.52 kcal/mol of atoms. As for the symmetry: Cmce. The calculation puts the density of states at the Fermi level at 7.9 states/eV/f.u.

abc: 9.056 9.056 7.616
angles: 90.00 90.00 50.42
Fractional positions:
Tb 0.000 0.000 0.000
Tb 0.054 0.717 0.663
Tb 0.217 0.554 0.163
Tb 0.283 0.946 0.663
Tb 0.446 0.783 0.163
Tb 0.500 0.500 0.500
Tb 0.554 0.217 0.837
Tb 0.717 0.054 0.337
Tb 0.783 0.446 0.837
Tb 0.946 0.283 0.337
Tl 0.219 0.219 0.000
Tl 0.281 0.281 0.500
Tl 0.719 0.719 0.500
Tl 0.781 0.781 0.000
Ir 0.134 0.866 0.364
Ir 0.366 0.634 0.864
Ir 0.634 0.366 0.136
Ir 0.866 0.134 0.636

=====

# 6
A geometry-optimized Tb6Tl2Ir structure. Source: Alexandria, functional GGA-PBE.

As for the volume: 547 Å³/cell. The formation energy from the elements is -7.46 kcal/mol of atoms. Its energy above the lowest structure with this stoichiometry is 94 meV per atom. As for the symmetry: P2_1/c. The calculation puts the density of states at the Fermi level at 8.4 states/eV/f.u.

abc: 7.018 7.419 12.534
angles: 90.00 123.07 90.00
Fractional positions:
Tb 0.144 0.195 0.464
Tb 0.144 0.305 0.964
Tb 0.272 0.685 0.461
Tb 0.272 0.815 0.961
Tb 0.336 0.007 0.247
Tb 0.336 0.493 0.747
Tb 0.664 0.507 0.253
Tb 0.664 0.993 0.753
Tb 0.728 0.185 0.039
Tb 0.728 0.315 0.539
Tb 0.856 0.695 0.036
Tb 0.856 0.805 0.536
Tl 0.212 0.077 0.749
Tl 0.212 0.423 0.249
Tl 0.788 0.577 0.751
Tl 0.788 0.923 0.251
Ir 0.500 0.000 0.500
Ir 0.500 0.500 0.000

=====

# 7
A geometry-optimized Tb8Tl2Ir3 structure. Source: Alexandria, functional GGA-PBE.

As for the volume: 404 Å³/cell. The formation energy from the elements is -9.90 kcal/mol of atoms. Its energy above the lowest structure with this stoichiometry is 55 meV per atom. As for the symmetry: C2/m. The calculation puts the density of states at the Fermi level at 11.4 states/eV/f.u.

abc: 9.019 9.019 6.834
angles: 107.22 107.22 50.20
Fractional positions:
Tb 0.090 0.090 0.419
Tb 0.159 0.648 0.096
Tb 0.352 0.841 0.904
Tb 0.362 0.362 0.532
Tb 0.638 0.638 0.468
Tb 0.648 0.159 0.096
Tb 0.841 0.352 0.904
Tb 0.910 0.910 0.581
Tl 0.248 0.248 0.851
Tl 0.752 0.752 0.149
Ir 0.000 0.000 0.000
Ir 0.300 0.700 0.500
Ir 0.700 0.300 0.500

=====

# 8
A geometry-optimized Tb4TlIr structure. Source: Alexandria, functional GGA-PBE.

As for the volume: 650 Å³/cell. The formation energy from the elements is -12.19 kcal/mol of atoms. Its energy above the lowest structure with this stoichiometry is 0 meV per atom. As for the symmetry: F-43m. The calculation puts the density of states at the Fermi level at 4.0 states/eV/f.u.

abc: 9.721 9.721 9.721
angles: 60.00 60.00 60.00
Fractional positions:
Tb 0.047 0.651 0.651
Tb 0.059 0.059 0.441
Tb 0.059 0.441 0.059
Tb 0.059 0.441 0.441
Tb 0.191 0.191 0.809
Tb 0.191 0.809 0.191
Tb 0.191 0.809 0.809
Tb 0.441 0.059 0.059
Tb 0.441 0.059 0.441
Tb 0.441 0.441 0.059
Tb 0.651 0.047 0.651
Tb 0.651 0.651 0.047
Tb 0.651 0.651 0.651
Tb 0.809 0.191 0.191
Tb 0.809 0.191 0.809
Tb 0.809 0.809 0.191
Tl 0.414 0.414 0.414
Tl 0.414 0.414 0.757
Tl 0.414 0.757 0.414
Tl 0.757 0.414 0.414
Ir 0.424 0.859 0.859
Ir 0.859 0.424 0.859
Ir 0.859 0.859 0.424
Ir 0.859 0.859 0.859

=====

# 9
A geometry-optimized Tb4TlIr2 structure. Source: Alexandria, functional GGA-PBE.

As for the volume: 351 Å³/cell. The formation energy from the elements is -12.15 kcal/mol of atoms. Its energy above the lowest structure with this stoichiometry is 51 meV per atom. As for the symmetry: I-42d. The calculation puts the density of states at the Fermi level at 5.3 states/eV/f.u.

abc: 7.700 7.700 7.700
angles: 108.94 108.94 110.54
Fractional positions:
Tb 0.005 0.404 0.255
Tb 0.148 0.750 0.745
Tb 0.154 0.255 0.755
Tb 0.250 0.995 0.399
Tb 0.500 0.398 0.245
Tb 0.596 0.852 0.601
Tb 0.602 0.846 0.101
Tb 0.745 0.500 0.899
Tl 0.000 0.000 0.000
Tl 0.750 0.250 0.500
Ir 0.240 0.625 0.115
Ir 0.375 0.490 0.615
Ir 0.510 0.125 0.885
Ir 0.875 0.760 0.385

=====

# 10
A geometry-optimized TbTm2Ir3 structure. Source: Alexandria, functional GGA-PBE.

As for the volume: 118 Å³/cell. The formation energy from the elements is -20.01 kcal/mol of atoms. As for the symmetry: P-3m1. The calculation puts the density of states at the Fermi level at 2.6 states/eV/f.u.

abc: 4.811 4.811 5.896
angles: 90.00 90.00 120.00
Fractional positions:
Tb 0.000 0.000 0.000
Tm 0.333 0.667 0.665
Tm 0.667 0.333 0.335
Ir 0.000 0.000 0.500
Ir 0.333 0.667 0.170
Ir 0.667 0.333 0.830

=====

# 11
A geometry-optimized TbTm3Ir2 structure. Source: Alexandria, functional GGA-PBE.

As for the volume: 285 Å³/cell. The formation energy from the elements is -17.84 kcal/mol of atoms. Its energy above the lowest structure with this stoichiometry is 0 meV per atom. As for the symmetry: Pmc2_1. The calculation puts the density of states at the Fermi level at 5.7 states/eV/f.u.

abc: 4.550 8.704 7.192
angles: 90.00 90.00 90.00
Fractional positions:
Tb 0.000 0.086 0.000
Tb 0.000 0.914 0.500
Tm 0.000 0.330 0.631
Tm 0.000 0.670 0.131
Tm 0.500 0.174 0.348
Tm 0.500 0.414 0.978
Tm 0.500 0.586 0.478
Tm 0.500 0.826 0.848
Ir 0.000 0.347 0.235
Ir 0.000 0.653 0.735
Ir 0.500 0.156 0.743
Ir 0.500 0.844 0.243

=====

# 12
A geometry-optimized TbTm2Ir structure. Source: Alexandria, functional GGA-PBE.

As for the volume: 418 Å³/cell. The formation energy from the elements is -14.08 kcal/mol of atoms. Its energy above the lowest structure with this stoichiometry is 0 meV per atom. As for the symmetry: Pnma. The calculation puts the density of states at the Fermi level at 3.8 states/eV/f.u.

abc: 7.210 9.116 6.356
angles: 90.00 90.00 90.00
Fractional positions:
Tb 0.033 0.250 0.128
Tb 0.467 0.750 0.628
Tb 0.533 0.250 0.372
Tb 0.967 0.750 0.872
Tm 0.176 0.063 0.672
Tm 0.176 0.437 0.672
Tm 0.324 0.563 0.172
Tm 0.324 0.937 0.172
Tm 0.676 0.063 0.828
Tm 0.676 0.437 0.828
Tm 0.824 0.563 0.328
Tm 0.824 0.937 0.328
Ir 0.117 0.750 0.451
Ir 0.383 0.250 0.951
Ir 0.617 0.750 0.049
Ir 0.883 0.250 0.549